Material: UInAs2
Method: DFT, PBE
State: optimized geometry

a = 4.6971 Å, b = 4.6971 Å, c = 3.7657 Å
α = 90.00°, β = 90.00°, γ = 90.00°
Closest atoms and distances in Å follow each position.
Element x y z (fractional)
1 U 0.0000 0.0000 0.0000  8 As 3.01, 4 In 3.32
2 In 0.5000 0.5000 0.0000  8 As 3.01, 4 U 3.32
3 As 0.0000 0.5000 0.5000  4 U 3.01, 4 In 3.01, 4 As 3.32
4 As 0.5000 0.0000 0.5000  4 U 3.01, 4 In 3.01, 4 As 3.32

Summary:
Total DFT energy (no corrections) ... -6.244 eV per atom
Space group ... No. 123
Energy relative to the elements ... -0.412 eV per atom
Total moment ... 1.62 μB per formula unit

***

Material: UInAs2
Method: DFT, PBE
State: optimized geometry

a = 4.2549 Å, b = 4.2549 Å, c = 19.5107 Å
α = 90.00°, β = 90.00°, γ = 120.00°
Closest atoms and distances in Å follow each position.
Element x y z (fractional)
1 U 0.0000 0.0000 0.0000  6 As 2.76-2.90
2 U 0.3333 0.6667 0.6667  6 As 2.76-2.90
3 U 0.6667 0.3333 0.3333  6 As 2.76-2.90
4 In 0.0000 0.0000 0.1687  6 As 2.97-3.18, 1 U 3.29
5 In 0.3333 0.6667 0.8353  6 As 2.97-3.18, 1 U 3.29
6 In 0.6667 0.3333 0.5020  6 As 2.97-3.18, 1 U 3.29
7 As 0.0000 0.0000 0.3981  3 U 2.76
8 As 0.0000 0.0000 0.5879  3 U 2.90, 3 In 2.97
9 As 0.3333 0.6667 0.0648  3 U 2.76
10 As 0.3333 0.6667 0.2546  3 U 2.90, 3 In 2.97
11 As 0.6667 0.3333 0.7315  3 U 2.76
12 As 0.6667 0.3333 0.9213  3 U 2.90, 3 In 2.97

Summary:
Total DFT energy (no corrections) ... -6.112 eV per atom
Space group ... No. 160
Energy relative to the elements ... -0.281 eV per atom
Total moment ... 1.21 μB per formula unit

***

Material: V2In2As
Method: DFT, PBE
State: optimized geometry

a = 6.3539 Å, b = 6.3539 Å, c = 4.5155 Å
α = 90.00°, β = 90.00°, γ = 90.00°
Closest atoms and distances in Å follow each position.
Element x y z (fractional)
1 V 0.1371 0.3629 0.0000  1 V 2.46, 2 As 2.46
2 V 0.3629 0.8629 0.0000  1 V 2.46, 2 As 2.46
3 V 0.6371 0.1371 0.0000  1 V 2.46, 2 As 2.46
4 V 0.8629 0.6371 0.0000  1 V 2.46, 2 As 2.46
5 In 0.1651 0.6651 0.5000  6 V 2.87-2.97, 1 In 2.97
6 In 0.3349 0.1651 0.5000  6 V 2.87-2.97, 1 In 2.97
7 In 0.6651 0.8349 0.5000  6 V 2.87-2.97, 1 In 2.97
8 In 0.8349 0.3349 0.5000  6 V 2.87-2.97, 1 In 2.97
9 As 0.0000 0.0000 0.0000  4 V 2.46
10 As 0.5000 0.5000 0.0000  4 V 2.46

Summary:
Total DFT energy (no corrections) ... -5.696 eV per atom
Space group ... No. 127
Energy relative to the elements ... -0.023 eV per atom
Total moment ... 0.00 μB per formula unit

***

Material: VInAs3
Method: DFT, PBE
State: optimized geometry

a = 4.8152 Å, b = 4.8152 Å, c = 4.8152 Å
α = 90.00°, β = 90.00°, γ = 90.00°
Closest atoms and distances in Å follow each position.
Element x y z (fractional)
1 V 0.0000 0.0000 0.0000  6 As 2.41
2 In 0.5000 0.5000 0.5000  12 As 3.40
3 As 0.0000 0.0000 0.5000  2 V 2.41
4 As 0.0000 0.5000 0.0000  2 V 2.41
5 As 0.5000 0.0000 0.0000  2 V 2.41

Summary:
Total DFT energy (no corrections) ... -5.035 eV per atom
Space group ... No. 221
Energy relative to the elements ... 0.126 eV per atom
Total moment ... 0.00 μB per formula unit

***

Material: V2InAs
Method: DFT, PBE
State: optimized geometry

a = 4.2889 Å, b = 4.2889 Å, c = 14.2903 Å
α = 90.00°, β = 90.00°, γ = 120.00°
Closest atoms and distances in Å follow each position.
Element x y z (fractional)
1 V 0.0000 0.0000 0.1902  3 As 2.50, 3 V 2.57, 1 In 2.72
2 V 0.0000 0.0000 0.8098  3 As 2.50, 3 V 2.57, 1 In 2.72
3 V 0.3333 0.6667 0.4765  3 As 2.50, 3 V 2.57, 1 In 2.72
4 V 0.3333 0.6667 0.8569  3 As 2.50, 3 V 2.57, 1 In 2.72
5 V 0.6667 0.3333 0.1431  3 As 2.50, 3 V 2.57, 1 In 2.72
6 V 0.6667 0.3333 0.5235  3 As 2.50, 3 V 2.57, 1 In 2.72
7 In 0.0000 0.0000 0.0000  2 V 2.72
8 In 0.3333 0.6667 0.6667  2 V 2.72
9 In 0.6667 0.3333 0.3333  2 V 2.72
10 As 0.0000 0.0000 0.5000  6 V 2.50
11 As 0.3333 0.6667 0.1667  6 V 2.50
12 As 0.6667 0.3333 0.8333  6 V 2.50

Summary:
Total DFT energy (no corrections) ... -6.312 eV per atom
Space group ... No. 166
Energy relative to the elements ... 0.095 eV per atom
Total moment ... 0.00 μB per formula unit

***

Material: V2InAs
Method: DFT, PBE
State: optimized geometry

a = 7.0636 Å, b = 7.0636 Å, c = 5.6548 Å
α = 90.00°, β = 90.00°, γ = 90.00°
Closest atoms and distances in Å follow each position.
Element x y z (fractional)
1 V 0.2100 0.2500 0.1250  2 As 2.41
2 V 0.2500 0.7100 0.3750  2 As 2.41
3 V 0.2500 0.7900 0.8750  2 As 2.41
4 V 0.2900 0.2500 0.6250  2 As 2.41
5 V 0.7100 0.7500 0.6250  2 As 2.41
6 V 0.7500 0.2100 0.8750  2 As 2.41
7 V 0.7500 0.2900 0.3750  2 As 2.41
8 V 0.7900 0.7500 0.1250  2 As 2.41
9 In 0.0000 0.0000 0.5000  4 V 2.80, 2 As 2.83
10 In 0.0000 0.5000 0.7500  4 V 2.80, 2 As 2.83
11 In 0.5000 0.0000 0.2500  4 V 2.80, 2 As 2.83
12 In 0.5000 0.5000 0.0000  4 V 2.80, 2 As 2.83
13 As 0.0000 0.0000 0.0000  4 V 2.41
14 As 0.0000 0.5000 0.2500  4 V 2.41
15 As 0.5000 0.0000 0.7500  4 V 2.41
16 As 0.5000 0.5000 0.5000  4 V 2.41

Summary:
Total DFT energy (no corrections) ... -6.089 eV per atom
Space group ... No. 122
Energy relative to the elements ... 0.317 eV per atom
Total moment ... 0.03 μB per formula unit

***

Material: VInAs2
Method: DFT, PBE
State: optimized geometry

a = 5.8974 Å, b = 5.8974 Å, c = 12.0709 Å
α = 90.00°, β = 90.00°, γ = 90.00°
Closest atoms and distances in Å follow each position.
Element x y z (fractional)
1 V 0.0000 0.0000 0.0000  4 As 2.46
2 V 0.0000 0.5000 0.2500  4 As 2.46
3 V 0.5000 0.0000 0.7500  4 As 2.46
4 V 0.5000 0.5000 0.5000  4 As 2.46
5 In 0.0000 0.0000 0.5000  4 As 2.70
6 In 0.0000 0.5000 0.7500  4 As 2.70
7 In 0.5000 0.0000 0.2500  4 As 2.70
8 In 0.5000 0.5000 0.0000  4 As 2.70
9 As 0.2147 0.2500 0.1250  2 V 2.46, 2 In 2.70
10 As 0.2500 0.7147 0.3750  2 V 2.46, 2 In 2.70
11 As 0.2500 0.7853 0.8750  2 V 2.46, 2 In 2.70
12 As 0.2853 0.2500 0.6250  2 V 2.46, 2 In 2.70
13 As 0.7147 0.7500 0.6250  2 V 2.46, 2 In 2.70
14 As 0.7500 0.2147 0.8750  2 V 2.46, 2 In 2.70
15 As 0.7500 0.2853 0.3750  2 V 2.46, 2 In 2.70
16 As 0.7853 0.7500 0.1250  2 V 2.46, 2 In 2.70

Summary:
Total DFT energy (no corrections) ... -5.302 eV per atom
Space group ... No. 122
Energy relative to the elements ... -0.013 eV per atom
Total moment ... 2.00 μB per formula unit

***

Material: V2InAs
Method: DFT, PBE
State: optimized geometry

a = 6.3593 Å, b = 6.3593 Å, c = 6.3593 Å
α = 90.00°, β = 90.00°, γ = 90.00°
Closest atoms and distances in Å follow each position.
Element x y z (fractional)
1 V 0.2500 0.2500 0.2500  4 As 2.75, 4 In 2.75
2 V 0.2500 0.2500 0.7500  4 As 2.75, 4 In 2.75
3 V 0.2500 0.7500 0.2500  4 As 2.75, 4 In 2.75
4 V 0.2500 0.7500 0.7500  4 As 2.75, 4 In 2.75
5 V 0.7500 0.2500 0.2500  4 As 2.75, 4 In 2.75
6 V 0.7500 0.2500 0.7500  4 As 2.75, 4 In 2.75
7 V 0.7500 0.7500 0.2500  4 As 2.75, 4 In 2.75
8 V 0.7500 0.7500 0.7500  4 In 2.75, 4 As 2.75
9 In 0.0000 0.0000 0.0000  8 V 2.75
10 In 0.0000 0.5000 0.5000  8 V 2.75
11 In 0.5000 0.0000 0.5000  8 V 2.75
12 In 0.5000 0.5000 0.0000  8 V 2.75
13 As 0.0000 0.0000 0.5000  8 V 2.75
14 As 0.0000 0.5000 0.0000  8 V 2.75
15 As 0.5000 0.0000 0.0000  8 V 2.75
16 As 0.5000 0.5000 0.5000  8 V 2.75

Summary:
Total DFT energy (no corrections) ... -6.119 eV per atom
Space group ... No. 225
Energy relative to the elements ... 0.288 eV per atom
Total moment ... 0.17 μB per formula unit

***

Material: V12In3As5
Method: DFT, PBE
State: optimized geometry

a = 12.7577 Å, b = 12.7577 Å, c = 12.7577 Å
α = 109.47°, β = 109.47°, γ = 109.47°
Closest atoms and distances in Å follow each position.
Element x y z (fractional)
1 V 0.0639 0.2198 0.1438  2 As 2.44-2.51, 2 In 2.64-2.68
2 V 0.0639 0.3441 0.9201  2 As 2.44-2.51, 2 In 2.64-2.68
3 V 0.0760 0.7198 0.6559  2 As 2.44-2.51, 2 In 2.64-2.68
4 V 0.0760 0.8562 0.4201  2 As 2.44-2.51, 2 In 2.64-2.68
5 V 0.0799 0.6438 0.4240  2 As 2.44-2.51, 2 In 2.64-2.68
6 V 0.0799 0.9361 0.6559  2 As 2.44-2.51, 2 In 2.64-2.68
7 V 0.1438 0.0639 0.2198  2 As 2.44-2.51, 2 In 2.64-2.68
8 V 0.1438 0.5799 0.9240  2 As 2.44-2.51, 2 In 2.64-2.68
9 V 0.1559 0.2198 0.5760  2 As 2.44-2.51, 2 In 2.64-2.68
10 V 0.1559 0.4361 0.5799  2 As 2.44-2.51, 2 In 2.64-2.68
11 V 0.2198 0.1438 0.0639  2 As 2.44-2.51, 2 In 2.64-2.68
12 V 0.2198 0.5760 0.1559  2 As 2.44-2.51, 2 In 2.64-2.68
13 V 0.2802 0.3441 0.9240  2 As 2.44-2.51, 2 In 2.64-2.68
14 V 0.2802 0.4361 0.3562  2 As 2.44-2.51, 2 In 2.64-2.68
15 V 0.3441 0.9201 0.0639  2 As 2.44-2.51, 2 In 2.64-2.68
16 V 0.3441 0.9240 0.2802  2 As 2.44-2.51, 2 In 2.64-2.68
17 V 0.3562 0.2802 0.4361  2 As 2.44-2.51, 2 In 2.64-2.68
18 V 0.3562 0.5760 0.9201  2 As 2.44-2.51, 2 In 2.64-2.68
19 V 0.4201 0.0760 0.8562  2 As 2.44-2.51, 2 In 2.64-2.68
20 V 0.4201 0.8441 0.5639  2 As 2.44-2.51, 2 In 2.64-2.68
21 V 0.4240 0.0799 0.6438  2 As 2.44-2.51, 2 In 2.64-2.68
22 V 0.4240 0.8441 0.7802  2 As 2.44-2.51, 2 In 2.64-2.68
23 V 0.4361 0.3562 0.2802  2 As 2.44-2.51, 2 In 2.64-2.68
24 V 0.4361 0.5799 0.1559  2 As 2.44-2.51, 2 In 2.64-2.68
25 V 0.5639 0.4201 0.8441  2 As 2.44-2.51, 2 In 2.64-2.68
26 V 0.5639 0.6438 0.7198  2 As 2.44-2.51, 2 In 2.64-2.68
27 V 0.5760 0.1559 0.2198  2 As 2.44-2.51, 2 In 2.64-2.68
28 V 0.5760 0.9201 0.3562  2 As 2.44-2.51, 2 In 2.64-2.68
29 V 0.5799 0.1559 0.4361  2 As 2.44-2.51, 2 In 2.64-2.68
30 V 0.5799 0.9240 0.1438  2 As 2.44-2.51, 2 In 2.64-2.68
31 V 0.6438 0.4240 0.0799  2 As 2.44-2.51, 2 In 2.64-2.68
32 V 0.6438 0.7198 0.5639  2 As 2.44-2.51, 2 In 2.64-2.68
33 V 0.6559 0.0760 0.7198  2 As 2.44-2.51, 2 In 2.64-2.68
34 V 0.6559 0.0799 0.9361  2 As 2.44-2.51, 2 In 2.64-2.68
35 V 0.7198 0.5639 0.6438  2 As 2.44-2.51, 2 In 2.64-2.68
36 V 0.7198 0.6559 0.0760  2 As 2.44-2.51, 2 In 2.64-2.68
37 V 0.7802 0.4240 0.8441  2 As 2.44-2.51, 2 In 2.64-2.68
38 V 0.7802 0.8562 0.9361  2 As 2.44-2.51, 2 In 2.64-2.68
39 V 0.8441 0.5639 0.4201  2 As 2.44-2.51, 2 In 2.64-2.68
40 V 0.8441 0.7802 0.4240  2 As 2.44-2.51, 2 In 2.64-2.68
41 V 0.8562 0.4201 0.0760  2 As 2.44-2.51, 2 In 2.64-2.68
42 V 0.8562 0.9361 0.7802  2 As 2.44-2.51, 2 In 2.64-2.68
43 V 0.9201 0.0639 0.3441  2 As 2.44-2.51, 2 In 2.64-2.68
44 V 0.9201 0.3562 0.5760  2 As 2.44-2.51, 2 In 2.64-2.68
45 V 0.9240 0.1438 0.5799  2 As 2.44-2.51, 2 In 2.64-2.68
46 V 0.9240 0.2802 0.3441  2 As 2.44-2.51, 2 In 2.64-2.68
47 V 0.9361 0.6559 0.0799  2 As 2.44-2.51, 2 In 2.64-2.68
48 V 0.9361 0.7802 0.8562  2 As 2.44-2.51, 2 In 2.64-2.68
49 In 0.1250 0.2500 0.3750  8 V 2.64-2.68
50 In 0.1250 0.3750 0.7500  8 V 2.64-2.68
51 In 0.2500 0.3750 0.1250  8 V 2.64-2.68
52 In 0.2500 0.8750 0.6250  8 V 2.64-2.68
53 In 0.3750 0.1250 0.2500  8 V 2.64-2.68
54 In 0.3750 0.7500 0.1250  8 V 2.64-2.68
55 In 0.6250 0.2500 0.8750  8 V 2.64-2.68
56 In 0.6250 0.8750 0.7500  8 V 2.64-2.68
57 In 0.7500 0.1250 0.3750  8 V 2.64-2.68
58 In 0.7500 0.6250 0.8750  8 V 2.64-2.68
59 In 0.8750 0.6250 0.2500  8 V 2.64-2.68
60 In 0.8750 0.7500 0.6250  8 V 2.64-2.68
61 As 0.0000 0.0000 0.0000  6 V 2.44
62 As 0.0000 0.0000 0.5000  6 V 2.44
63 As 0.0000 0.5000 0.0000  6 V 2.44
64 As 0.0000 0.5000 0.5000  6 V 2.44
65 As 0.1250 0.7500 0.8750  4 V 2.51
66 As 0.1250 0.8750 0.2500  4 V 2.51
67 As 0.2500 0.1250 0.8750  4 V 2.51
68 As 0.2500 0.6250 0.3750  4 V 2.51
69 As 0.3750 0.2500 0.6250  4 V 2.51
70 As 0.3750 0.6250 0.7500  4 V 2.51
71 As 0.5000 0.0000 0.0000  6 V 2.44
72 As 0.5000 0.0000 0.5000  6 V 2.44
73 As 0.5000 0.5000 0.0000  6 V 2.44
74 As 0.5000 0.5000 0.5000  6 V 2.44
75 As 0.6250 0.3750 0.2500  4 V 2.51
76 As 0.6250 0.7500 0.3750  4 V 2.51
77 As 0.7500 0.3750 0.6250  4 V 2.51
78 As 0.7500 0.8750 0.1250  4 V 2.51
79 As 0.8750 0.1250 0.7500  4 V 2.51
80 As 0.8750 0.2500 0.1250  4 V 2.51

Summary:
Total DFT energy (no corrections) ... -6.501 eV per atom
Space group ... No. 230
Energy relative to the elements ... 0.543 eV per atom
Total moment ... 0.00 μB per formula unit

***

Material: VIn2As
Method: DFT, PBE
State: optimized geometry

a = 8.0368 Å, b = 8.0368 Å, c = 5.6356 Å
α = 90.00°, β = 90.00°, γ = 90.00°
Closest atoms and distances in Å follow each position.
Element x y z (fractional)
1 V 0.0000 0.0000 0.0000  2 As 2.82, 4 In 3.06
2 V 0.0000 0.5000 0.2500  2 As 2.82, 4 In 3.06
3 V 0.5000 0.0000 0.7500  2 As 2.82, 4 In 3.06
4 V 0.5000 0.5000 0.5000  2 As 2.82, 4 In 3.06
5 In 0.2274 0.2500 0.6250  2 As 2.81, 2 In 2.84, 2 V 3.06
6 In 0.2500 0.7274 0.8750  2 As 2.81, 2 In 2.84, 2 V 3.06
7 In 0.2500 0.7726 0.3750  2 As 2.81, 2 In 2.84, 2 V 3.06
8 In 0.2726 0.2500 0.1250  2 As 2.81, 2 In 2.84, 2 V 3.06
9 In 0.7274 0.7500 0.1250  2 As 2.81, 2 In 2.84, 2 V 3.06
10 In 0.7500 0.2274 0.3750  2 As 2.81, 2 In 2.84, 2 V 3.06
11 In 0.7500 0.2726 0.8750  2 As 2.81, 2 In 2.84, 2 V 3.06
12 In 0.7726 0.7500 0.6250  2 As 2.81, 2 In 2.84, 2 V 3.06
13 As 0.0000 0.0000 0.5000  4 In 2.81, 2 V 2.82
14 As 0.0000 0.5000 0.7500  4 In 2.81, 2 V 2.82
15 As 0.5000 0.0000 0.2500  4 In 2.81, 2 V 2.82
16 As 0.5000 0.5000 0.0000  4 In 2.81, 2 V 2.82

Summary:
Total DFT energy (no corrections) ... -4.457 eV per atom
Space group ... No. 122
Energy relative to the elements ... 0.354 eV per atom
Total moment ... 3.21 μB per formula unit

***

Material: VInAs2
Method: DFT, PBE
State: optimized geometry

a = 3.1655 Å, b = 3.1655 Å, c = 27.6066 Å
α = 90.00°, β = 90.00°, γ = 120.00°
Closest atoms and distances in Å follow each position.
Element x y z (fractional)
1 V 0.0000 0.0000 0.0000  6 As 2.50
2 V 0.3333 0.6667 0.6667  6 As 2.50
3 V 0.6667 0.3333 0.3333  6 As 2.50
4 In 0.0000 0.0000 0.5000  2 As 2.89, 6 In 3.17
5 In 0.3333 0.6667 0.1667  2 As 2.89, 6 In 3.17
6 In 0.6667 0.3333 0.8333  2 As 2.89, 6 In 3.17
7 As 0.0000 0.0000 0.3954  3 V 2.50
8 As 0.0000 0.0000 0.6046  3 V 2.50
9 As 0.3333 0.6667 0.0620  3 V 2.50
10 As 0.3333 0.6667 0.2713  3 V 2.50
11 As 0.6667 0.3333 0.7287  3 V 2.50
12 As 0.6667 0.3333 0.9380  3 V 2.50

Summary:
Total DFT energy (no corrections) ... -5.467 eV per atom
Space group ... No. 166
Energy relative to the elements ... -0.178 eV per atom
Total moment ... 0.00 μB per formula unit

***

Material: YVInAs2
Method: DFT, PBE
State: optimized geometry

a = 4.7735 Å, b = 4.7735 Å, c = 5.2978 Å
α = 90.00°, β = 90.00°, γ = 90.00°
Closest atoms and distances in Å follow each position.
Element x y z (fractional)
1 Y 0.0000 0.0000 0.0000  2 V 2.65
2 V 0.0000 0.0000 0.5000  4 As 2.39, 2 Y 2.65
3 In 0.5000 0.5000 0.0000  4 Y 3.38, 8 As 3.57
4 As 0.0000 0.5000 0.5000  2 V 2.39
5 As 0.5000 0.0000 0.5000  2 V 2.39

Summary:
Total DFT energy (no corrections) ... -5.487 eV per atom
Space group ... No. 123
Energy relative to the elements ... 0.037 eV per atom
Total moment ... 0.00 μB per formula unit